# PBE BaCaAsH2, relaxed
# DFT total energy, eV per atom: -3.709
# M_tot, Bohr magnetons per cell: 0.0
data_BaCaAsH2
_chemical_formula_sum 'Ba2 Ca2 As2 H4'
_space_group_name_H-M_alt 'P 1'
_space_group_IT_number 1
_cell_length_a 4.620
_cell_length_b 6.891
_cell_length_c 7.227
_cell_angle_alpha 90.00
_cell_angle_beta 90.00
_cell_angle_gamma 109.58
loop_
_space_group_symop_operation_xyz
'x,y,z'
loop_
_atom_site_label
_atom_site_type_symbol
_atom_site_fract_x
_atom_site_fract_y
_atom_site_fract_z
Ba1 Ba 0.725 0.450 0.750
Ba2 Ba 0.275 0.550 0.250
H1 H 0.829 0.659 0.062
H2 H 0.171 0.341 0.938
H3 H 0.171 0.341 0.562
H4 H 0.829 0.659 0.438
Ca1 Ca 0.000 0.000 0.500
Ca2 Ca 0.000 0.000 0.000
As1 As 0.547 0.093 0.250
As2 As 0.453 0.907 0.750



# PBE PrPuRu, relaxed
# Energy above the lowest structure with this stoichiometry, eV/atom: 0.108
# DFT total energy, eV per atom: -9.457
# M_tot, Bohr magnetons per cell: 5.1
data_PrPuRu
_chemical_formula_sum 'Pr1 Pu1 Ru1'
_space_group_name_H-M_alt 'P 1'
_space_group_IT_number 1
_cell_length_a 4.512
_cell_length_b 4.422
_cell_length_c 4.422
_cell_angle_alpha 120.00
_cell_angle_beta 90.00
_cell_angle_gamma 90.00
loop_
_space_group_symop_operation_xyz
'x,y,z'
loop_
_atom_site_label
_atom_site_type_symbol
_atom_site_fract_x
_atom_site_fract_y
_atom_site_fract_z
Ru1 Ru 0.167 0.000 0.000
Pr1 Pr 0.667 0.667 0.333
Pu1 Pu 0.167 0.333 0.667



# PBE NdCu, relaxed
# DFT total energy, eV per atom: -4.361
# M_tot, Bohr magnetons per cell: 0.4
data_NdCu
_chemical_formula_sum 'Nd1 Cu1'
_space_group_name_H-M_alt 'P 1'
_space_group_IT_number 1
_cell_length_a 4.207
_cell_length_b 4.207
_cell_length_c 4.207
_cell_angle_alpha 60.00
_cell_angle_beta 60.00
_cell_angle_gamma 60.00
loop_
_space_group_symop_operation_xyz
'x,y,z'
loop_
_atom_site_label
_atom_site_type_symbol
_atom_site_fract_x
_atom_site_fract_y
_atom_site_fract_z
Nd1 Nd 0.000 0.000 0.000
Cu1 Cu 0.500 0.500 0.500



# PBE AcSm7Y3, relaxed
# Energy above the lowest structure with this stoichiometry, eV/atom: 0.015
# DFT total energy, eV per atom: -4.922
# M_tot, Bohr magnetons per cell: 0.0
data_AcSm7Y3
_chemical_formula_sum 'Ac1 Sm7 Y3'
_space_group_name_H-M_alt 'P 1'
_space_group_IT_number 1
_cell_length_a 6.600
_cell_length_b 7.759
_cell_length_c 7.776
_cell_angle_alpha 81.02
_cell_angle_beta 86.06
_cell_angle_gamma 86.17
loop_
_space_group_symop_operation_xyz
'x,y,z'
loop_
_atom_site_label
_atom_site_type_symbol
_atom_site_fract_x
_atom_site_fract_y
_atom_site_fract_z
Sm1 Sm 0.258 0.425 0.074
Sm2 Sm 0.258 0.073 0.424
Sm3 Sm 0.742 0.927 0.576
Sm4 Sm 0.742 0.575 0.926
Sm5 Sm 0.000 0.500 0.500
Sm6 Sm 0.798 0.235 0.234
Sm7 Sm 0.202 0.765 0.766
Y1 Y 0.500 0.000 0.000
Y2 Y 0.001 0.171 0.829
Y3 Y 0.999 0.829 0.171
Ac1 Ac 0.500 0.500 0.500



# PBE ScVGaFe2, relaxed
# DFT total energy, eV per atom: -6.341
# M_tot, Bohr magnetons per cell: 1.9
data_ScVGaFe2
_chemical_formula_sum 'Sc1 V1 Ga1 Fe2'
_space_group_name_H-M_alt 'P 1'
_space_group_IT_number 1
_cell_length_a 4.441
_cell_length_b 4.639
_cell_length_c 4.441
_cell_angle_alpha 90.00
_cell_angle_beta 90.00
_cell_angle_gamma 90.00
loop_
_space_group_symop_operation_xyz
'x,y,z'
loop_
_atom_site_label
_atom_site_type_symbol
_atom_site_fract_x
_atom_site_fract_y
_atom_site_fract_z
Fe1 Fe 0.000 0.000 0.500
Fe2 Fe 0.500 0.000 0.000
Sc1 Sc 0.500 0.500 0.500
Ga1 Ga 0.000 0.000 0.000
V1 V 0.000 0.500 0.000



# PBE TlSb2Ir, relaxed
# Energy above the lowest structure with this stoichiometry, eV/atom: 0.098
# DFT total energy, eV per atom: -4.863
# Formation energy (no corrections), eV per atom: 0.00
# M_tot, Bohr magnetons per cell: 0.0
data_TlSb2Ir
_chemical_formula_sum 'Tl1 Sb2 Ir1'
_space_group_name_H-M_alt 'P 1'
_space_group_IT_number 1
_cell_length_a 9.658
_cell_length_b 9.658
_cell_length_c 9.658
_cell_angle_alpha 158.96
_cell_angle_beta 161.14
_cell_angle_gamma 28.40
loop_
_space_group_symop_operation_xyz
'x,y,z'
loop_
_atom_site_label
_atom_site_type_symbol
_atom_site_fract_x
_atom_site_fract_y
_atom_site_fract_z
Sb1 Sb 0.773 0.273 0.500
Sb2 Sb 0.090 0.090 0.000
Ir1 Ir 0.198 0.698 0.500
Tl1 Tl 0.439 0.439 0.000



# PBE SmEr2Tm4Th, relaxed
# DFT total energy, eV per atom: -4.863
# M_tot, Bohr magnetons per cell: 0.0
data_SmEr2Tm4Th
_chemical_formula_sum 'Sm1 Er2 Tm4 Th1'
_space_group_name_H-M_alt 'P 1'
_space_group_IT_number 1
_cell_length_a 5.016
_cell_length_b 5.006
_cell_length_c 11.064
_cell_angle_alpha 63.14
_cell_angle_beta 90.00
_cell_angle_gamma 90.00
loop_
_space_group_symop_operation_xyz
'x,y,z'
loop_
_atom_site_label
_atom_site_type_symbol
_atom_site_fract_x
_atom_site_fract_y
_atom_site_fract_z
Tm1 Tm 0.500 0.253 0.747
Tm2 Tm 0.000 0.753 0.748
Tm3 Tm 0.500 0.747 0.253
Tm4 Tm 0.000 0.247 0.252
Sm1 Sm 0.500 0.500 0.000
Th1 Th 0.000 0.500 0.500
Er1 Er 0.500 0.000 0.500
Er2 Er 0.000 0.000 0.000



# PBE DyPaZn, relaxed
# Energy above the lowest structure with this stoichiometry, eV/atom: 0.611
# DFT total energy, eV per atom: -4.488
# M_tot, Bohr magnetons per cell: 2.7
data_DyPaZn
_chemical_formula_sum 'Dy2 Pa2 Zn2'
_space_group_name_H-M_alt 'P 1'
_space_group_IT_number 1
_cell_length_a 5.511
_cell_length_b 5.511
_cell_length_c 5.697
_cell_angle_alpha 90.00
_cell_angle_beta 90.00
_cell_angle_gamma 90.00
loop_
_space_group_symop_operation_xyz
'x,y,z'
loop_
_atom_site_label
_atom_site_type_symbol
_atom_site_fract_x
_atom_site_fract_y
_atom_site_fract_z
Pa1 Pa 0.500 0.500 0.500
Pa2 Pa 0.000 0.000 0.500
Dy1 Dy 0.500 0.000 0.933
Dy2 Dy 0.000 0.500 0.067
Zn1 Zn 0.500 0.500 0.000
Zn2 Zn 0.000 0.000 0.000



# PBE Y2RhCl, relaxed
# Energy above the lowest structure with this stoichiometry, eV/atom: 0.326
# DFT total energy, eV per atom: -6.364
# Formation energy (no corrections), eV per atom: -0.83
# M_tot, Bohr magnetons per cell: 0.0
data_Y2RhCl
_chemical_formula_sum 'Y2 Rh1 Cl1'
_space_group_name_H-M_alt 'P 1'
_space_group_IT_number 1
_cell_length_a 5.278
_cell_length_b 7.146
_cell_length_c 3.320
_cell_angle_alpha 79.88
_cell_angle_beta 78.72
_cell_angle_gamma 128.44
loop_
_space_group_symop_operation_xyz
'x,y,z'
loop_
_atom_site_label
_atom_site_type_symbol
_atom_site_fract_x
_atom_site_fract_y
_atom_site_fract_z
Rh1 Rh 0.500 0.000 0.500
Cl1 Cl 0.500 0.500 0.000
Y1 Y 0.000 0.500 0.500
Y2 Y 0.000 0.000 0.000



# PBE YTiIN2, relaxed
# Energy above the lowest structure with this stoichiometry, eV/atom: 1.994
# DFT total energy, eV per atom: -4.575
# Formation energy (no corrections), eV per atom: 1.94
# M_tot, Bohr magnetons per cell: 0.0
data_YTiIN2
_chemical_formula_sum 'Y1 Ti1 I1 N2'
_space_group_name_H-M_alt 'P 1'
_space_group_IT_number 1
_cell_length_a 4.337
_cell_length_b 5.576
_cell_length_c 4.337
_cell_angle_alpha 90.00
_cell_angle_beta 90.00
_cell_angle_gamma 90.00
loop_
_space_group_symop_operation_xyz
'x,y,z'
loop_
_atom_site_label
_atom_site_type_symbol
_atom_site_fract_x
_atom_site_fract_y
_atom_site_fract_z
N1 N 0.500 0.000 0.000
N2 N 0.000 0.000 0.500
Ti1 Ti 0.500 0.500 0.500
I1 I 0.000 0.000 0.000
Y1 Y 0.000 0.500 0.000



# PBE KCa3Bi, relaxed
# DFT total energy, eV per atom: -1.431
# M_tot, Bohr magnetons per cell: 1.7
data_KCa3Bi
_chemical_formula_sum 'K1 Ca3 Bi1'
_space_group_name_H-M_alt 'P 1'
_space_group_IT_number 1
_cell_length_a 6.050
_cell_length_b 6.050
_cell_length_c 6.050
_cell_angle_alpha 90.00
_cell_angle_beta 90.00
_cell_angle_gamma 90.00
loop_
_space_group_symop_operation_xyz
'x,y,z'
loop_
_atom_site_label
_atom_site_type_symbol
_atom_site_fract_x
_atom_site_fract_y
_atom_site_fract_z
K1 K 0.000 0.000 0.000
Ca1 Ca 0.500 0.000 0.000
Ca2 Ca 0.000 0.500 0.000
Ca3 Ca 0.000 0.000 0.500
Bi1 Bi 0.500 0.500 0.500



# PBE Sr2CdTc, relaxed
# DFT total energy, eV per atom: -2.902
# M_tot, Bohr magnetons per cell: 2.6
data_Sr2CdTc
_chemical_formula_sum 'Sr4 Cd2 Tc2'
_space_group_name_H-M_alt 'P 1'
_space_group_IT_number 1
_cell_length_a 8.584
_cell_length_b 8.584
_cell_length_c 6.869
_cell_angle_alpha 51.33
_cell_angle_beta 51.33
_cell_angle_gamma 90.00
loop_
_space_group_symop_operation_xyz
'x,y,z'
loop_
_atom_site_label
_atom_site_type_symbol
_atom_site_fract_x
_atom_site_fract_y
_atom_site_fract_z
Sr1 Sr 0.375 0.403 0.750
Sr2 Sr 0.153 0.625 0.250
Sr3 Sr 0.875 0.847 0.750
Sr4 Sr 0.597 0.125 0.250
Cd1 Cd 0.750 0.250 0.500
Cd2 Cd 0.000 0.000 0.000
Tc1 Tc 0.250 0.750 0.500
Tc2 Tc 0.500 0.500 0.000



> Among the records above, which one has the highest DFT total energy?

KCa3Bi